(1)
First-principles (PBE) data for a relaxed structure of SrHg2Cl2, as listed in Alexandria.

Structure (POSCAR):
```
SrHg2Cl2
1.0
7.575 0.000 0.000
0.000 7.575 0.000
0.000 0.000 6.608
Sr Hg Cl
2 4 4
Cartesian
0.000 0.000 0.000 Sr
3.788 3.788 0.000 Sr
1.173 2.615 3.304 Hg
2.615 6.403 3.304 Hg
4.960 1.173 3.304 Hg
6.403 4.960 3.304 Hg
1.306 5.094 0.000 Cl
2.481 1.306 0.000 Cl
5.094 6.269 0.000 Cl
6.269 2.481 0.000 Cl
```

- Formation energy (no corrections): -1.25 eV per atom

(2)
First-principles (PBE) data for a relaxed structure of Y5SnPb4, as listed in Alexandria.

Structure (POSCAR):
```
Y5SnPb4
1.0
-4.971 4.971 3.143
4.971 -4.971 3.143
4.971 4.971 -3.143
Y Sn Pb
5 1 4
Cartesian
0.000 0.000 0.000 Y
3.979 2.038 0.008 Y
2.933 -0.992 3.152 Y
2.038 5.963 0.008 Y
0.992 2.933 3.152 Y
0.000 0.000 3.143 Sn
6.942 0.967 0.008 Pb
0.967 3.000 0.008 Pb
4.004 1.971 3.152 Pb
-1.971 4.004 3.152 Pb
```

- Formation energy: -398 meV per atom

(3)
First-principles (PBE) data for a relaxed structure of MgBe7, as listed in Alexandria.

Structure (POSCAR):
```
MgBe7
1.0
0.000 3.389 3.389
3.389 0.000 3.389
3.389 3.389 0.000
Mg Be
1 7
Cartesian
0.000 0.000 0.000 Mg
1.694 1.694 0.000 Be
1.694 0.000 1.694 Be
3.389 1.694 1.694 Be
0.000 1.694 1.694 Be
1.694 3.389 1.694 Be
1.694 1.694 3.389 Be
3.389 3.389 3.389 Be
```

- Formation energy: 371 meV per atom

no.,DOS(E_F) (states/eV per atom)
1,0.000
2,0.908
3,0.345